Record 1
Below is LiYPa2P4 after structural relaxation, with properties calculated at the PBE level.

Cell and atoms, written as POSCAR:
```
LiYPa2P4
1.0
4.0106 0.0000 0.0000
0.0000 6.9407 0.1245
0.0000 -2.4209 6.2878
P Y Pa Li
4 1 2 1
direct
0.0000 0.2478 0.7402
0.5000 0.7458 0.7450
0.5000 0.2542 0.2550
0.0000 0.7522 0.2598
0.0000 0.0000 0.0000
0.0000 0.5000 0.5000
0.5000 0.0000 0.5000
0.5000 0.5000 0.0000
```

formation energy: -886 kJ/mol of formula units
M_tot: 0.000 μB per formula unit
N(E_F): 0.62 states/eV per atom

***

Record 2
Below is Sr2SmGe3Au12 after structural relaxation, with properties calculated at the PBE level.

Cell and atoms, written as POSCAR:
```
Sr2SmGe3Au12
1.0
8.0512 -0.6945 -0.4926
3.3722 7.3439 -0.4926
3.3722 1.9629 7.0938
Au Sm Ge Sr
12 1 3 2
direct
0.3102 0.3102 0.8418
0.6210 0.1513 0.1513
0.8487 0.3790 0.8487
0.8487 0.8487 0.3790
0.3790 0.8487 0.8487
0.1513 0.1513 0.6210
0.1582 0.6898 0.6898
0.1513 0.6210 0.1513
0.6898 0.1582 0.6898
0.8418 0.3102 0.3102
0.3102 0.8418 0.3102
0.6898 0.6898 0.1582
0.0000 0.0000 0.0000
0.0000 0.5000 0.0000
0.5000 0.0000 0.0000
0.0000 0.0000 0.5000
0.5995 0.5995 0.5995
0.4005 0.4005 0.4005
```

formation energy: -269 kJ/mol of formula units
M_tot: 0.000 μB per formula unit
N(E_F): 0.20 states/eV per atom

***

Record 3
Below is PrAl9Cu2 after structural relaxation, with properties calculated at the PBE level.

Cell and atoms, written as POSCAR:
```
PrAl9Cu2
1.0
-1.3173 -1.2171 -6.9004
6.4424 -3.1441 -4.3586
-2.9576 -7.6491 -1.7695
Al Cu Pr
18 4 2
direct
0.6080 0.3245 0.0780
0.3140 0.0780 0.6755
0.1420 0.1755 0.4220
0.7395 0.5780 0.8245
0.7395 0.8245 0.5780
0.4360 0.8245 0.4220
0.0000 0.0000 0.0000
0.0105 0.6755 0.9220
0.0674 0.9220 0.3245
0.0105 0.9220 0.6755
0.0674 0.3245 0.9220
0.1420 0.4220 0.1755
0.6826 0.1755 0.5780
0.6080 0.0780 0.3245
0.6826 0.5780 0.1755
0.7500 0.5000 0.5000
0.3140 0.6755 0.0780
0.4360 0.4220 0.8245
0.8750 0.2500 0.7500
0.8750 0.2500 0.2500
0.8750 0.7500 0.2500
0.3750 0.7500 0.7500
0.2500 0.5000 0.5000
0.5000 0.0000 0.0000
```

formation energy: -215 kJ/mol of formula units
M_tot: 0.000 μB per formula unit
N(E_F): 0.49 states/eV per atom

***

Record 4
Below is Pr2InGe4Pd3 after structural relaxation, with properties calculated at the PBE level.

Cell and atoms, written as POSCAR:
```
Pr2InGe4Pd3
1.0
-0.2819 4.2740 0.6458
-3.8574 -0.5407 1.8951
4.8874 -1.1320 9.6252
Ge Pd Pr In
4 3 2 1
direct
0.0000 0.0000 0.0000
0.5000 0.0000 0.6518
0.0000 0.5000 0.3482
0.5000 0.5000 0.0000
0.0000 0.0000 0.5000
0.0000 0.5000 0.1225
0.5000 0.0000 0.8775
0.5000 0.0000 0.2376
0.0000 0.5000 0.7624
0.5000 0.5000 0.5000
```

formation energy: -698 kJ/mol of formula units
M_tot: 0.000 μB per formula unit
N(E_F): 0.28 states/eV per atom

***

Record 5
Below is CsNaSnS3 after structural relaxation, with properties calculated at the PBE level.

Cell and atoms, written as POSCAR:
```
CsNaSnS3
1.0
-6.6108 -1.4237 -2.1931
2.5685 -1.8967 -6.3517
1.5890 -8.2714 4.4480
Na S Sn Cs
2 6 2 2
direct
0.7029 0.2971 0.5000
0.2971 0.7029 0.5000
0.7087 0.0976 0.2206
0.2913 0.9024 0.7794
0.6901 0.6901 0.4836
0.3099 0.3099 0.5164
0.0976 0.7087 0.2206
0.9024 0.2913 0.7794
0.1782 0.1782 0.6939
0.8218 0.8218 0.3061
0.8049 0.8049 0.8552
0.1951 0.1951 0.1448
```

M_tot: 0.000 μB per formula unit
energy relative to the elements, uncorrected: -0.760 eV/atom
N(E_F): 0.00 states/eV per atom

***

Record 6
Below is CuMoBr2 after structural relaxation, with properties calculated at the PBE level.

Cell and atoms, written as POSCAR:
```
CuMoBr2
1.0
-1.8432 -4.5078 0.8196
2.3210 -3.9783 -1.7821
2.3154 -3.0926 3.0765
Cu Br Mo
1 2 1
direct
0.5000 0.5000 0.5000
0.0000 0.0000 0.0000
0.2500 0.2500 0.2500
0.7500 0.7500 0.7500
```

polymorph energy (0 for the lowest one): 0.862 eV per atom
M_tot: 4.120 μB per formula unit
energy relative to the elements, uncorrected: 1.045 eV/atom
N(E_F): 1.46 states/eV per atom

***

Record 7
Below is TaCdF6 after structural relaxation, with properties calculated at the PBE level.

Cell and atoms, written as POSCAR:
```
TaCdF6
1.0
5.3222 0.0874 0.0612
-1.8989 4.9727 0.0612
-0.5691 -0.8412 5.5690
F Cd Ta
6 1 1
direct
0.8112 0.5059 0.7078
0.1888 0.4941 0.2922
0.2653 0.2653 0.6918
0.4941 0.1888 0.2922
0.5059 0.8112 0.7078
0.7347 0.7347 0.3082
0.0000 0.0000 0.0000
0.5000 0.5000 0.5000
```

M_tot: 0.917 μB per formula unit
energy relative to the elements, uncorrected: -2.742 eV/atom
N(E_F): 0.18 states/eV per atom

***

Record 8
Below is Y2TcW after structural relaxation, with properties calculated at the PBE level.

Cell and atoms, written as POSCAR:
```
Y2TcW
1.0
0.0000 3.4947 3.4947
3.4947 0.0000 3.4947
3.4947 3.4947 0.0000
Tc Y W
1 2 1
direct
0.0000 0.0000 0.0000
0.2500 0.2500 0.2500
0.7500 0.7500 0.7500
0.5000 0.5000 0.5000
```

formation energy: 238 kJ/mol of formula units
polymorph energy (0 for the lowest one): 0.542 eV per atom
M_tot: 2.465 μB per formula unit
N(E_F): 1.66 states/eV per atom

***

Record 9
Below is Mn2FeRh5 after structural relaxation, with properties calculated at the PBE level.

Cell and atoms, written as POSCAR:
```
Mn2FeRh5
1.0
3.9138 0.0000 0.0000
0.0000 5.3272 0.0000
0.0000 0.0000 10.5346
Rh Fe Mn
10 2 4
direct
0.0000 0.9431 0.7433
0.5000 0.7955 0.3854
0.0000 0.4431 0.7567
0.5000 0.2045 0.6146
0.0000 0.5000 0.5000
0.5000 0.2955 0.1146
0.0000 0.0000 0.0000
0.0000 0.5569 0.2433
0.0000 0.0569 0.2567
0.5000 0.7045 0.8854
0.0000 0.5000 0.0000
0.0000 0.0000 0.5000
0.5000 0.8020 0.1351
0.5000 0.3020 0.3649
0.5000 0.6980 0.6351
0.5000 0.1980 0.8649
```

formation energy: -65 kJ/mol of formula units
M_tot: 9.634 μB per formula unit
N(E_F): 1.18 states/eV per atom

***

Record 10
Below is Pr2Sm3Tl3 after structural relaxation, with properties calculated at the PBE level.

Cell and atoms, written as POSCAR:
```
Pr2Sm3Tl3
1.0
4.5434 0.0000 0.0000
0.0000 5.0545 0.0000
-2.2717 -2.5272 10.5653
Pr Sm Tl
2 3 3
direct
0.2626 0.7626 0.5253
0.7374 0.2374 0.4747
0.5000 0.0000 0.0000
0.3826 0.3826 0.7652
0.6174 0.6174 0.2348
0.1239 0.1239 0.2478
0.0000 0.5000 0.0000
0.8761 0.8761 0.7522
```

formation energy: -208 kJ/mol of formula units
M_tot: 0.000 μB per formula unit
N(E_F): 1.02 states/eV per atom

***

Record 11
Below is Ti2GaPb after structural relaxation, with properties calculated at the PBE level.

Cell and atoms, written as POSCAR:
```
Ti2GaPb
1.0
4.1527 0.0000 0.0000
0.0000 4.2181 0.0000
0.0000 0.0000 4.2181
Ga Ti Pb
1 2 1
direct
0.5000 0.5000 0.5000
0.0000 0.5000 0.0000
0.0000 0.0000 0.5000
0.5000 0.0000 0.0000
```

formation energy: -42 kJ/mol of formula units
M_tot: 0.000 μB per formula unit
N(E_F): 0.73 states/eV per atom

***

Record 12
Below is RbSi2H8 after structural relaxation, with properties calculated at the PBE level.

Cell and atoms, written as POSCAR:
```
RbSi2H8
1.0
6.9498 1.2655 0.9602
1.7810 5.1484 0.7813
1.7810 2.1387 4.7479
H Si Rb
8 2 1
direct
0.8473 0.6487 0.6487
0.7109 0.1484 0.5820
0.5379 0.1908 0.1908
0.7109 0.5820 0.1484
0.1527 0.3513 0.3513
0.2891 0.8516 0.4180
0.2891 0.4180 0.8516
0.4621 0.8092 0.8092
0.3476 0.1667 0.1667
0.6524 0.8333 0.8333
0.0000 0.0000 0.0000
```

total DFT energy (no corrections): -3.48 eV per atom
M_tot: 0.000 μB per formula unit
N(E_F): 0.11 states/eV per atom

***

- What is the N(E_F) in the fourth record?
  0.28 states/eV per atom